No. 1
A plane-wave DFT calculation with PBE was carried out for an optimized crystal structure of NaCdIrF6.

Cell lengths 5.580, 5.580, 9.492 Å; angles 90.00, 90.00, 120.00 degrees
Site moments in Bohr magnetons follow the coordinates.
Fractional coordinates of all 18 atoms:
Na1 0.333 0.667 0.250  0.00
Na2 0.667 0.333 0.750  0.00
Cd1 0.000 0.000 0.000  0.00
Cd2 0.000 0.000 0.500  0.00
Ir1 0.667 0.333 0.250  0.14
Ir2 0.333 0.667 0.750  0.14
F1 0.671 0.638 0.130  0.01
F2 0.968 0.329 0.130  0.01
F3 0.329 0.968 0.630  0.01
F4 0.032 0.671 0.870  0.01
F5 0.362 0.329 0.370  0.01
F6 0.968 0.638 0.370  0.01
F7 0.638 0.968 0.870  0.01
F8 0.671 0.032 0.370  0.01
F9 0.032 0.362 0.630  0.01
F10 0.362 0.032 0.130  0.01
F11 0.638 0.671 0.630  0.01
F12 0.329 0.362 0.870  0.01

No. 2
A plane-wave DFT calculation with PBE was carried out for an optimized crystal structure of Pr2SbPt6.

Cell lengths 5.803, 5.783, 6.431 Å; angles 78.47, 90.00, 120.11 degrees
Fractional coordinates of all 9 atoms:
Pr1 0.641 0.281 0.155
Pr2 0.359 0.719 0.845
Sb1 0.000 0.000 0.000
Pt1 0.878 0.278 0.681
Pt2 0.877 0.755 0.682
Pt3 0.401 0.278 0.681
Pt4 0.122 0.722 0.319
Pt5 0.123 0.245 0.318
Pt6 0.599 0.722 0.319

The density of states at the Fermi level comes out at 4.19 states/eV/cell.

No. 3
A plane-wave DFT calculation with PBE was carried out for an optimized crystal structure of CdMoI3.

Cell lengths 5.864, 5.864, 5.864 Å; angles 90.00, 90.00, 90.00 degrees
Site moments in Bohr magnetons follow the coordinates.
Fractional coordinates of all 5 atoms:
I1 0.000 0.500 0.000  0.00
I2 0.000 0.000 0.500  0.00
I3 0.500 0.000 0.000  0.00
Mo1 0.500 0.500 0.500  4.07
Cd1 0.000 0.000 0.000  0.01

The density of states at the Fermi level comes out at 7.62 states/eV/cell.

Computed raw formation energy, in the same sequence as the records: -187.27; -81.35; 66.10 kJ/mol of atoms.